Entry from Alexandria: a geometry-optimized RbAl2GaRe structure (PBE).

Properties
As for the formation energy from the elements: 2.605 eV per atom. The total magnetization comes out at 2.91 μB per formula unit. The space group is P4/mmm.

a = 5.5964 Å, b = 5.5964 Å, c = 5.4930 Å
α = 90.00°, β = 90.00°, γ = 90.00°
Last column: nearest neighbours and their distance in Å.
Fractional coordinates of all 5 atoms:
Rb: 0.0000 0.0000 0.0000  2 Ga 2.75, 4 Al 2.80
Al: 0.0000 0.5000 0.0000  2 Rb 2.80
Al: 0.5000 0.0000 0.0000  2 Rb 2.80
Ga: 0.0000 0.0000 0.5000  2 Rb 2.75
Re: 0.5000 0.5000 0.5000  8 Al 3.92, 4 Ga 3.96